No. 1
First-principles (PBE-GGA) data for CuTcPt after structural relaxation, as listed in Alexandria via LeMat-Bulk.

Calculated values
calculated density: 14009 kg/m3
energy relative to the elements: 25 meV per atom
energy relative to the lowest polymorph listed for this composition: 0.01 eV per formula unit
V: 84.5 Å³/cell

a b c (Å): 2.7039 3.8856 8.0471
angles (deg): 90.00 90.00 90.00
Space group Imm2 (No. 44)
Unique sites:
Cu 0.0000 0.0000 0.0000 x2
Tc 0.0000 0.0000 0.3367 x2
Pt 0.0000 0.0000 0.6688 x2

No. 2
First-principles (PBE-GGA) data for Cu2TcPt9 after structural relaxation, as listed in Alexandria via LeMat-Bulk.

Calculated values
calculated density: 18255 kg/m3
energy relative to the elements: -113 meV per atom
V: 180.2 Å³/cell

a b c (Å): 3.9195 3.9195 11.7291
angles (deg): 90.00 90.00 90.00
Space group P4/mmm (No. 123)
Unique sites:
Cu 0.0000 0.0000 0.1647 x2
Tc 0.0000 0.0000 0.5000 x1
Pt 0.0000 0.5000 0.0000 x2
Pt 0.0000 0.5000 0.3335 x4
Pt 0.5000 0.5000 0.1656 x2
Pt 0.5000 0.5000 0.5000 x1

No. 3
First-principles (PBE-GGA) data for Cu3TcPt12 after structural relaxation, as listed in Alexandria via LeMat-Bulk.

Calculated values
calculated density: 18223 kg/m3
energy relative to the elements: -116 meV per atom
V: 239.6 Å³/cell

a b c (Å): 3.9171 3.9171 15.6173
angles (deg): 90.00 90.00 90.00
Space group P4/mmm (No. 123)
Unique sites:
Cu 0.0000 0.0000 0.0000 x1
Cu 0.0000 0.0000 0.2480 x2
Tc 0.0000 0.0000 0.5000 x1
Pt 0.0000 0.5000 0.1245 x4
Pt 0.0000 0.5000 0.3751 x4
Pt 0.5000 0.5000 0.0000 x1
Pt 0.5000 0.5000 0.2489 x2
Pt 0.5000 0.5000 0.5000 x1

No. 4
First-principles (PBE-GGA) data for Cu2TcPt2 after structural relaxation, as listed in Alexandria via LeMat-Bulk.

Calculated values
calculated density: 14304 kg/m3
energy relative to the elements: 154 meV per atom
V: 142.9 Å³/cell

a b c (Å): 7.1792 7.1792 2.7717
angles (deg): 90.00 90.00 90.00
Space group P4/mbm (No. 127)
Unique sites:
Cu 0.1170 0.3830 0.0000 x4
Tc 0.0000 0.0000 0.0000 x2
Pt 0.1819 0.6819 0.5000 x4

No. 5
First-principles (PBE-GGA) data for CuTcPt after structural relaxation, as listed in Alexandria via LeMat-Bulk.

Calculated values
calculated density: 13924 kg/m3
energy relative to the elements: 23 meV per atom
energy relative to the lowest polymorph listed for this composition: 0.00 eV per formula unit
V: 85.1 Å³/cell

a b c (Å): 2.7433 2.7433 11.3033
angles (deg): 90.00 90.00 90.00
Space group I4mm (No. 107)
Unique sites:
Cu 0.0000 0.0000 0.0000 x2
Tc 0.0000 0.0000 0.6649 x2
Pt 0.0000 0.0000 0.3311 x2

No. 6
First-principles (PBE-GGA) data for CuTc2Pt after structural relaxation, as listed in Alexandria via LeMat-Bulk.

Calculated values
calculated density: 13259 kg/m3
energy relative to the elements: 38 meV per atom
energy relative to the lowest polymorph listed for this composition: 0.30 eV per formula unit
V: 113.9 Å³/cell

a b c (Å): 3.8565 3.8565 7.6567
angles (deg): 90.00 90.00 90.00
Space group I-4m2 (No. 119)
Unique sites:
Cu 0.0000 0.0000 0.0000 x2
Tc 0.0000 0.0000 0.5000 x2
Tc 0.0000 0.5000 0.2500 x2
Pt 0.0000 0.5000 0.7500 x2

No. 7
First-principles (PBE-GGA) data for CuTcPt after structural relaxation, as listed in Alexandria via LeMat-Bulk.

Calculated values
calculated density: 13914 kg/m3
energy relative to the elements: 73 meV per atom
energy relative to the lowest polymorph listed for this composition: 0.15 eV per formula unit
V: 42.6 Å³/cell

a b c (Å): 4.3116 4.3116 2.6436
angles (deg): 90.00 90.00 120.00
Space group P-6m2 (No. 187)
Unique sites:
Cu 0.0000 0.0000 0.0000 x1
Tc 0.6667 0.3333 0.5000 x1
Pt 0.3333 0.6667 0.0000 x1

No. 8
First-principles (PBE-GGA) data for Cu4TcPt after structural relaxation, as listed in Alexandria via LeMat-Bulk.

Calculated values
calculated density: 11630 kg/m3
energy relative to the elements: 137 meV per atom
V: 312.5 Å³/cell

a b c (Å): 6.7864 6.7864 6.7864
angles (deg): 90.00 90.00 90.00
Space group F-43m (No. 216)
Unique sites:
Cu 0.1250 0.1250 0.1250 x16
Tc 0.0000 0.0000 0.5000 x4
Pt 0.2500 0.2500 0.7500 x4

No. 9
First-principles (PBE-GGA) data for CuTcPt after structural relaxation, as listed in Alexandria via LeMat-Bulk.

Calculated values
calculated density: 11788 kg/m3
energy relative to the elements: 399 meV per atom
energy relative to the lowest polymorph listed for this composition: 1.13 eV per formula unit
V: 200.9 Å³/cell

a b c (Å): 5.8572 5.8572 5.8572
angles (deg): 90.00 90.00 90.00
Space group F-43m (No. 216)
Unique sites:
Cu 0.0000 0.0000 0.0000 x4
Tc 0.0000 0.0000 0.5000 x4
Pt 0.2500 0.2500 0.2500 x4

No. 10
First-principles (PBE-GGA) data for CuTc2Pt after structural relaxation, as listed in Alexandria via LeMat-Bulk.

Calculated values
calculated density: 13212 kg/m3
energy relative to the elements: -9 meV per atom
energy relative to the lowest polymorph listed for this composition: 0.11 eV per formula unit
V: 57.1 Å³/cell

a b c (Å): 2.7594 2.7594 7.5039
angles (deg): 90.00 90.00 90.00
Space group P4mm (No. 99)
Unique sites:
Cu 0.0000 0.0000 0.0000 x1
Tc 0.0000 0.0000 0.5104 x1
Tc 0.5000 0.5000 0.7501 x1
Pt 0.5000 0.5000 0.2449 x1

No. 11
First-principles (PBE-GGA) data for CuTcPt after structural relaxation, as listed in Alexandria via LeMat-Bulk.

Calculated values
calculated density: 12351 kg/m3
energy relative to the elements: 569 meV per atom
energy relative to the lowest polymorph listed for this composition: 1.64 eV per formula unit
V: 191.8 Å³/cell

a b c (Å): 4.6235 4.6235 10.3595
angles (deg): 90.00 90.00 120.00
Space group P6_3/mmc (No. 194)
Unique sites:
Cu 0.0000 0.0000 0.2500 x2
Cu 0.3333 0.6667 0.2500 x2
Tc 0.0000 0.0000 0.0000 x2
Tc 0.3333 0.6667 0.7500 x2
Pt 0.3333 0.6667 0.5037 x4

No. 12
First-principles (PBE-GGA) data for CuTc2Pt after structural relaxation, as listed in Alexandria via LeMat-Bulk.

Calculated values
calculated density: 12993 kg/m3
energy relative to the elements: 398 meV per atom
energy relative to the lowest polymorph listed for this composition: 1.74 eV per formula unit
V: 232.4 Å³/cell

a b c (Å): 6.1482 6.1482 6.1482
angles (deg): 90.00 90.00 90.00
Space group Fm-3m (No. 225)
Unique sites:
Cu 0.0000 0.0000 0.0000 x4
Tc 0.2500 0.2500 0.2500 x8
Pt 0.0000 0.0000 0.5000 x4

No. 13
First-principles (PBE-GGA) data for CuTc2Pt after structural relaxation, as listed in Alexandria via LeMat-Bulk.

Calculated values
calculated density: 9111 kg/m3
energy relative to the elements: 1456 meV per atom
energy relative to the lowest polymorph listed for this composition: 5.97 eV per formula unit
V: 331.4 Å³/cell

a b c (Å): 5.4162 5.4162 11.2987
angles (deg): 90.00 90.00 90.00
Space group I-42d (No. 122)
Unique sites:
Cu 0.0000 0.0000 0.0000 x4
Tc 0.2391 0.2500 0.1250 x8
Pt 0.0000 0.0000 0.5000 x4

No. 14
First-principles (PBE-GGA) data for CuTc2Pt after structural relaxation, as listed in Alexandria via LeMat-Bulk.

Calculated values
calculated density: 13101 kg/m3
energy relative to the elements: -37 meV per atom
energy relative to the lowest polymorph listed for this composition: 0.00 eV per formula unit
V: 172.9 Å³/cell

a b c (Å): 2.7388 2.7388 26.6113
angles (deg): 90.00 90.00 120.00
Space group R3m (No. 160, hexagonal axes)
Unique sites:
Cu 0.0000 0.0000 0.0000 x3
Tc 0.0000 0.0000 0.4956 x3
Tc 0.0000 0.0000 0.7505 x3
Pt 0.0000 0.0000 0.2514 x3

No. 15
First-principles (PBE-GGA) data for CuTc3Pt after structural relaxation, as listed in Alexandria via LeMat-Bulk.

Calculated values
calculated density: 10861 kg/m3
energy relative to the elements: 1565 meV per atom
energy relative to the lowest polymorph listed for this composition: 0.00 eV per formula unit
V: 84.5 Å³/cell

a b c (Å): 4.3880 4.3880 4.3880
angles (deg): 90.00 90.00 90.00
Space group Pm-3m (No. 221)
Unique sites:
Cu 0.0000 0.0000 0.0000 x1
Tc 0.0000 0.0000 0.5000 x3
Pt 0.5000 0.5000 0.5000 x1

No. 16
First-principles (PBE-GGA) data for CuTc2Pt after structural relaxation, as listed in Alexandria via LeMat-Bulk.

Calculated values
calculated density: 13214 kg/m3
energy relative to the elements: 55 meV per atom
energy relative to the lowest polymorph listed for this composition: 0.37 eV per formula unit
V: 114.3 Å³/cell

a b c (Å): 9.2366 2.7187 4.6149
angles (deg): 90.00 99.62 90.00
Space group C2/m (No. 12)
Unique sites:
Cu 0.0000 0.0000 0.0000 x2
Tc 0.2467 0.0000 0.7541 x4
Pt 0.0000 0.5000 0.5000 x2

No. 17
First-principles (PBE-GGA) data for CuTc2Pt after structural relaxation, as listed in Alexandria via LeMat-Bulk.

Calculated values
calculated density: 13229 kg/m3
energy relative to the elements: -8 meV per atom
energy relative to the lowest polymorph listed for this composition: 0.12 eV per formula unit
V: 57.1 Å³/cell

a b c (Å): 2.7197 3.8561 5.4411
angles (deg): 90.00 90.00 90.00
Space group Pmm2 (No. 25)
Unique sites:
Cu 0.0000 0.0000 0.0000 x1
Tc 0.0000 0.0000 0.5142 x1
Tc 0.5000 0.5000 0.7436 x1
Pt 0.5000 0.5000 0.2346 x1

No. 18
First-principles (PBE-GGA) data for CuTc2Pt after structural relaxation, as listed in Alexandria via LeMat-Bulk.

Calculated values
calculated density: 13247 kg/m3
energy relative to the elements: 86 meV per atom
energy relative to the lowest polymorph listed for this composition: 0.49 eV per formula unit
V: 57.0 Å³/cell

a b c (Å): 3.7055 3.7055 4.1507
angles (deg): 90.00 90.00 90.00
Space group P4/mmm (No. 123)
Unique sites:
Cu 0.0000 0.0000 0.0000 x1
Tc 0.0000 0.5000 0.5000 x2
Pt 0.5000 0.5000 0.0000 x1

No. 19
First-principles (PBE-GGA) data for CuTc2Pt after structural relaxation, as listed in Alexandria via LeMat-Bulk.

Calculated values
calculated density: 13022 kg/m3
energy relative to the elements: 212 meV per atom
energy relative to the lowest polymorph listed for this composition: 1.00 eV per formula unit
V: 231.9 Å³/cell

a b c (Å): 6.1438 6.1438 6.1438
angles (deg): 90.00 90.00 90.00
Space group F-43m (No. 216)
Unique sites:
Cu 0.0000 0.0000 0.0000 x4
Tc 0.0000 0.0000 0.5000 x4
Tc 0.2500 0.2500 0.7500 x4
Pt 0.2500 0.2500 0.2500 x4

No. 20
First-principles (PBE-GGA) data for CuTc2Pt after structural relaxation, as listed in Alexandria via LeMat-Bulk.

Calculated values
calculated density: 12891 kg/m3
energy relative to the elements: 161 meV per atom
energy relative to the lowest polymorph listed for this composition: 0.79 eV per formula unit
V: 117.1 Å³/cell

a b c (Å): 2.8529 4.5395 9.0438
angles (deg): 90.00 90.00 90.00
Space group Cmm2 (No. 35)
Unique sites:
Cu 0.0000 0.0000 0.0000 x2
Tc 0.0000 0.0000 0.5131 x2
Tc 0.0000 0.5000 0.7526 x2
Pt 0.0000 0.5000 0.2457 x2

| no. | total DFT energy (no corrections) (eV per atom) |
| --- | --- |
| 1 | -6.81 |
| 2 | -6.19 |
| 3 | -6.06 |
| 4 | -5.97 |
| 5 | -6.81 |
| 6 | -7.68 |
| 7 | -6.76 |
| 8 | -5.33 |
| 9 | -6.44 |
| 10 | -7.73 |
| 11 | -6.27 |
| 12 | -7.32 |
| 13 | -6.26 |
| 14 | -7.75 |
| 15 | -6.68 |
| 16 | -7.66 |
| 17 | -7.73 |
| 18 | -7.63 |
| 19 | -7.51 |
| 20 | -7.56 |